Record 1
Sn2SbAu after structural relaxation. Source: the Alexandria database, functional PBE-GGA.

Structure (CIF):
```
data_Sn2SbAu
_space_group_name_H-M_alt 'P 1'
_space_group_IT_number 1
_cell_length_a 3.5793
_cell_length_b 3.5793
_cell_length_c 7.7554
_cell_angle_alpha 90.00
_cell_angle_beta 90.00
_cell_angle_gamma 90.00
loop_
_space_group_symop_operation_xyz
'x,y,z'
loop_
_atom_site_label
_atom_site_fract_x
_atom_site_fract_y
_atom_site_fract_z
Sb1 0.5000 0.5000 0.5000
Au1 0.5000 0.5000 0.0000
Sn1 0.0000 0.0000 0.7787
Sn2 0.0000 0.0000 0.2213
```

Output
calculated total energy = -15.31 eV for the cell shown
space-group type = No. 123

Record 2
SnSb2Au2 after structural relaxation. Source: the Alexandria database, functional PBE-GGA.

Structure (CIF):
```
data_SnSb2Au2
_space_group_name_H-M_alt 'P 1'
_space_group_IT_number 1
_cell_length_a 8.5059
_cell_length_b 8.5059
_cell_length_c 3.3763
_cell_angle_alpha 90.00
_cell_angle_beta 90.00
_cell_angle_gamma 90.00
loop_
_space_group_symop_operation_xyz
'x,y,z'
loop_
_atom_site_label
_atom_site_fract_x
_atom_site_fract_y
_atom_site_fract_z
Sb1 0.3115 0.8115 0.0000
Sb2 0.8115 0.6885 0.0000
Sb3 0.6885 0.1885 0.0000
Sb4 0.1885 0.3115 0.0000
Au1 0.1172 0.6172 0.5000
Au2 0.6172 0.8828 0.5000
Au3 0.8828 0.3828 0.5000
Au4 0.3828 0.1172 0.5000
Sn1 0.0000 0.0000 0.0000
Sn2 0.5000 0.5000 0.0000
```

Output
space-group type = No. 127
energy above the most stable polymorph in this dataset = 176 meV per atom

Record 3
Sr3Sn2SbAu6 after structural relaxation. Source: the Alexandria database, functional PBE-GGA.

Structure (CIF):
```
data_Sr3Sn2SbAu6
_space_group_name_H-M_alt 'P 1'
_space_group_IT_number 1
_cell_length_a 6.5172
_cell_length_b 6.5172
_cell_length_c 8.9598
_cell_angle_alpha 90.00
_cell_angle_beta 90.00
_cell_angle_gamma 120.00
loop_
_space_group_symop_operation_xyz
'x,y,z'
loop_
_atom_site_label
_atom_site_fract_x
_atom_site_fract_y
_atom_site_fract_z
Sr1 0.3333 0.6667 0.6380
Sr2 0.6667 0.3333 0.3620
Sr3 0.0000 0.0000 0.0000
Sn1 0.6667 0.3333 0.9503
Sn2 0.3333 0.6667 0.0497
Sb1 0.0000 0.0000 0.5000
Au1 0.6440 0.8220 0.2871
Au2 0.1780 0.3560 0.2871
Au3 0.1780 0.8220 0.2871
Au4 0.8220 0.6440 0.7129
Au5 0.3560 0.1780 0.7129
Au6 0.8220 0.1780 0.7129
```

Output
calculated total energy = -43.00 eV for the cell shown
space-group type = No. 164

Record 4
Tc2SnSbAu after structural relaxation. Source: the Alexandria database, functional PBE-GGA.

Structure (CIF):
```
data_Tc2SnSbAu
_space_group_name_H-M_alt 'P 1'
_space_group_IT_number 1
_cell_length_a 5.0595
_cell_length_b 5.0039
_cell_length_c 5.0595
_cell_angle_alpha 90.00
_cell_angle_beta 90.00
_cell_angle_gamma 90.00
loop_
_space_group_symop_operation_xyz
'x,y,z'
loop_
_atom_site_label
_atom_site_fract_x
_atom_site_fract_y
_atom_site_fract_z
Sb1 0.5000 0.5000 0.5000
Au1 0.0000 0.5000 0.0000
Sn1 0.0000 0.0000 0.0000
Tc1 0.0000 0.0000 0.5000
Tc2 0.5000 0.0000 0.0000
```

Output
calculated total energy = -24.72 eV for the cell shown
space-group type = No. 123

Record 5
SnSbTeAu after structural relaxation. Source: the Alexandria database, functional PBE-GGA.

Structure (CIF):
```
data_SnSbTeAu
_space_group_name_H-M_alt 'P 1'
_space_group_IT_number 1
_cell_length_a 4.9014
_cell_length_b 4.9014
_cell_length_c 12.2359
_cell_angle_alpha 78.45
_cell_angle_beta 78.45
_cell_angle_gamma 60.00
loop_
_space_group_symop_operation_xyz
'x,y,z'
loop_
_atom_site_label
_atom_site_fract_x
_atom_site_fract_y
_atom_site_fract_z
Sn1 0.5911 0.5911 0.2268
Sn2 0.4089 0.4089 0.7732
Sb1 0.7926 0.7926 0.6221
Sb2 0.2074 0.2074 0.3779
Te1 0.7070 0.7070 0.8789
Te2 0.2930 0.2930 0.1211
Au1 0.1228 0.1228 0.6315
Au2 0.8772 0.8772 0.3685
```

Output
calculated total energy = -29.18 eV for the cell shown
space-group type = No. 166

Record 6
ThSnSbAu after structural relaxation. Source: the Alexandria database, functional PBE-GGA.

Structure (CIF):
```
data_ThSnSbAu
_space_group_name_H-M_alt 'P 1'
_space_group_IT_number 1
_cell_length_a 5.2867
_cell_length_b 5.2867
_cell_length_c 5.2867
_cell_angle_alpha 60.00
_cell_angle_beta 60.00
_cell_angle_gamma 60.00
loop_
_space_group_symop_operation_xyz
'x,y,z'
loop_
_atom_site_label
_atom_site_fract_x
_atom_site_fract_y
_atom_site_fract_z
Sb1 0.0000 0.0000 0.0000
Au1 0.5000 0.5000 0.5000
Sn1 0.2500 0.2500 0.2500
Th1 0.7500 0.7500 0.7500
```

Output
calculated total energy = -20.42 eV for the cell shown
space-group type = No. 216

Record 7
Tl2Sn3SbAu4 after structural relaxation. Source: the Alexandria database, functional PBE-GGA.

Structure (CIF):
```
data_Tl2Sn3SbAu4
_space_group_name_H-M_alt 'P 1'
_space_group_IT_number 1
_cell_length_a 4.9196
_cell_length_b 4.9196
_cell_length_c 11.0019
_cell_angle_alpha 90.00
_cell_angle_beta 90.00
_cell_angle_gamma 90.00
loop_
_space_group_symop_operation_xyz
'x,y,z'
loop_
_atom_site_label
_atom_site_fract_x
_atom_site_fract_y
_atom_site_fract_z
Tl1 0.5000 0.0000 0.2331
Tl2 0.0000 0.5000 0.7669
Sn1 0.0000 0.0000 0.5000
Sn2 0.5000 0.0000 0.8779
Sn3 0.0000 0.5000 0.1221
Sb1 0.5000 0.5000 0.5000
Au1 0.5000 0.5000 0.0000
Au2 0.0000 0.0000 0.0000
Au3 0.5000 0.0000 0.6297
Au4 0.0000 0.5000 0.3703
```

Output
calculated total energy = -34.91 eV for the cell shown
space-group type = No. 115

Record 8
TlSnSb2Au4 after structural relaxation. Source: the Alexandria database, functional PBE-GGA.

Structure (CIF):
```
data_TlSnSb2Au4
_space_group_name_H-M_alt 'P 1'
_space_group_IT_number 1
_cell_length_a 5.8310
_cell_length_b 5.8310
_cell_length_c 6.9536
_cell_angle_alpha 112.34
_cell_angle_beta 112.34
_cell_angle_gamma 95.35
loop_
_space_group_symop_operation_xyz
'x,y,z'
loop_
_atom_site_label
_atom_site_fract_x
_atom_site_fract_y
_atom_site_fract_z
Tl1 0.9385 0.9385 0.0000
Sn1 0.4384 0.4384 0.0000
Sb1 0.1861 0.6861 0.5000
Sb2 0.6861 0.1861 0.5000
Au1 0.9381 0.4385 0.0000
Au2 0.4385 0.9381 0.0000
Au3 0.1899 0.1899 0.5081
Au4 0.6818 0.6818 0.4919
```

Output
calculated total energy = -28.21 eV for the cell shown
space-group type = No. 42